A plane-wave DFT calculation with GGA-PBE was carried out for a relaxed SrH4N2 crystal.

Properties
Its theoretical density is 2.37 g/cm³. For the excess energy over the best structure of this formula in the dataset, the calculation gives 0.62 eV/f.u.

Cell and atoms, written as POSCAR:
```
SrH4N2
1.0
4.624 0.000 0.000
0.000 6.020 0.000
0.000 0.000 6.020
H N Sr
8 4 2
direct
0.000 0.966 0.230
0.000 0.770 0.034
0.000 0.034 0.770
0.500 0.534 0.730
0.000 0.230 0.966
0.500 0.466 0.270
0.500 0.730 0.534
0.500 0.270 0.466
0.500 0.298 0.298
0.000 0.798 0.202
0.500 0.702 0.702
0.000 0.202 0.798
0.000 0.500 0.500
0.500 0.000 0.000
```